Below is crystalline RbMnBi2 at its relaxed geometry, with properties calculated at the PBE level.

abc: 5.554 5.554 5.554
angles: 60.00 60.00 60.00
Sites, in units of the cell vectors:
Rb 0.000 0.000 0.000
Mn 0.500 0.500 0.500
Bi 0.250 0.250 0.250
Bi 0.750 0.750 0.750

## Properties
Energy relative to the elements ... 0.37 eV/atom
Uncorrected energy ... -4.10 eV per atom